RbPt2Pb: relaxed, PBE.

Values from the calculation:
Mass density (g/cm3): 9.851
DOS at the Fermi energy (states/eV/cell): 8.8
Total moment (μB per formula unit): 0.00
Energy of formation from the pure elements (kJ per mole of atoms): 31

```
data_RbPt2Pb
_symmetry_space_group_name_H-M 'I -4 2 d'
_symmetry_Int_Tables_number 122
_symmetry_space_group_name_Hall 'I -4 2bw'
_cell_length_a 8.142
_cell_length_b 8.142
_cell_length_c 6.946
_cell_angle_alpha 90.00
_cell_angle_beta 90.00
_cell_angle_gamma 90.00
loop_
_atom_site_label
_atom_site_fract_x
_atom_site_fract_y
_atom_site_fract_z
Rb1 0.000 0.000 0.000
Pt1 0.184 0.750 0.625
Pb1 0.000 0.000 0.500
```